No. 1
VASP calculation (PBE) on ZnInBr2 after structural relaxation.

Geometry as extended XYZ:
```
4
Lattice="-2.310 6.997 -2.188 -1.889 -4.996 -1.778 -3.811 -0.053 1.261" Properties=species:S:1:pos:R:3 pbc="T T T"
Br 0.000 0.000 0.000
Br -3.061 3.472 -0.463
In -2.850 -2.525 -0.259
Zn -2.099 1.001 -1.983
```


No. 2
VASP calculation (PBE) on ZnInBr2 after structural relaxation.

Geometry as extended XYZ:
```
4
Lattice="-3.777 -0.398 2.105 -0.003 -2.761 -4.969 3.385 -3.643 5.001" Properties=species:S:1:pos:R:3 pbc="T T T"
Zn -0.849 -2.498 0.347
Br -0.887 -2.781 -4.242
Br 0.388 -3.107 2.444
In 0.470 -3.204 -1.898
```


No. 3
VASP calculation (PBE) on ZnInBr2 after structural relaxation.

Geometry as extended XYZ:
```
8
Lattice="-1.405 -5.976 1.130 4.932 -2.006 3.838 -1.843 0.671 6.503" Properties=species:S:1:pos:R:3 pbc="T T T"
Zn -0.702 -5.311 8.842
Zn 2.387 -2.000 2.629
Br -1.413 -5.210 6.423
Br 3.098 -2.101 5.048
Br 0.113 -3.453 2.898
Br 1.571 -3.858 8.573
In -0.368 -2.243 5.982
In 2.052 -5.068 5.489
```


No. 4
VASP calculation (PBE) on ZnInBr2 after structural relaxation.

Geometry as extended XYZ:
```
8
Lattice="6.955 0.000 0.007 0.000 5.599 0.000 -1.723 0.000 6.039" Properties=species:S:1:pos:R:3 pbc="T T T"
Zn 1.781 0.000 4.563
Zn 2.643 2.799 1.543
Br -0.794 0.000 3.981
Br 0.068 2.799 0.961
Br 2.671 0.000 1.973
Br 1.810 2.799 4.993
In 5.791 0.000 0.328
In 4.930 2.799 3.348
```


No. 5
VASP calculation (PBE) on ZnInBr2 after structural relaxation.

Geometry as extended XYZ:
```
8
Lattice="-3.391 1.692 -3.674 -6.822 -0.530 2.819 -1.380 7.698 1.323" Properties=species:S:1:pos:R:3 pbc="T T T"
Zn -6.629 6.905 -0.587
Zn -3.897 7.013 1.672
Br -4.285 5.801 -0.762
Br -8.083 4.817 -0.865
Br -2.213 1.628 -0.513
Br -6.636 7.155 1.991
In -5.207 2.479 -0.475
In -7.730 4.138 2.513
```


No. 6
VASP calculation (PBE) on ZnInBr2 after structural relaxation.

Geometry as extended XYZ:
```
4
Lattice="3.572 0.000 0.000 0.000 3.572 0.000 0.000 0.000 8.853" Properties=species:S:1:pos:R:3 pbc="T T T"
Br 0.000 0.000 8.077
Br 1.786 1.786 2.747
In 0.000 0.000 4.498
Zn 1.786 1.786 6.809
```


| no. | final energy (eV/atom) |
| --- | --- |
| 1 | -2.0946 |
| 2 | -2.3757 |
| 3 | -2.4198 |
| 4 | -2.2713 |
| 5 | -2.4336 |
| 6 | -2.1429 |